(1)
This record from Alexandria describes a relaxed MgBiSbI2 crystal. The functional is PBE.

Lattice parameters (Å, degrees): 6.104 6.104 6.044 90.00 90.00 90.00
Site moments in Bohr magnetons follow the coordinates.
Atoms (fractional coordinates):
Sb 0.000 0.000 0.500  0.13
Mg 0.500 0.500 0.500  -0.02
I 0.000 0.500 0.000  0.01
I 0.500 0.000 0.000  0.01
Bi 0.000 0.000 0.000  -0.02

Properties
D(E_F) = 3.844 states/eV per cell
formation energy (no corrections) = 0.31 eV per atom
ΔE to the lowest computed polymorph = 202.5 meV/atom


(2)
This record from Alexandria describes a relaxed CaScRhAu crystal. The functional is PBE.

Lattice parameters (Å, degrees): 4.821 4.821 4.821 60.00 60.00 60.00
Atoms (fractional coordinates):
Rh 0.750 0.750 0.750
Au 0.250 0.250 0.250
Ca 0.000 0.000 0.000
Sc 0.500 0.500 0.500

Properties
D(E_F) = 2.487 states/eV per cell
raw total energy = -5.391 eV per atom


(3)
This record from Alexandria describes a relaxed ScIO3 crystal. The functional is PBE.

Lattice parameters (Å, degrees): 4.081 4.081 4.081 90.00 90.00 90.00
Atoms (fractional coordinates):
O 0.000 0.500 0.000
Sc 0.000 0.000 0.000
O 0.000 0.000 0.500
O 0.500 0.000 0.000
I 0.500 0.500 0.500

Properties
D(E_F) = 2.643 states/eV per cell
formation energy (no corrections) = -1.18 eV per atom


(4)
This record from Alexandria describes a relaxed NbPd12Au3 crystal. The functional is PBE.

Lattice parameters (Å, degrees): 3.996 3.996 15.993 90.00 90.00 90.00
Atoms (fractional coordinates):
Pd 0.500 0.500 0.500
Pd 0.500 0.000 0.625
Pd 0.000 0.500 0.119
Pd 0.000 0.500 0.375
Pd 0.500 0.500 0.752
Pd 0.500 0.000 0.881
Au 0.000 0.000 0.249
Pd 0.500 0.000 0.119
Pd 0.000 0.500 0.625
Pd 0.500 0.500 0.248
Au 0.000 0.000 0.751
Au 0.000 0.000 0.500
Nb 0.000 0.000 0.000
Pd 0.000 0.500 0.881
Pd 0.500 0.000 0.375
Pd 0.500 0.500 0.000

Properties
D(E_F) = 18.064 states/eV per cell
raw total energy = -5.306 eV per atom


(5)
This record from Alexandria describes a relaxed NaTaZn crystal. The functional is PBE.

Lattice parameters (Å, degrees): 4.895 6.824 5.900 44.52 77.80 57.68
Atoms (fractional coordinates):
Na 0.921 0.921 0.579
Zn 0.000 0.000 0.000
Ta 0.670 0.670 0.330
Ta 0.330 0.330 0.670
Na 0.579 0.579 0.921
Zn 0.250 0.250 0.250

Properties
D(E_F) = 3.074 states/eV per cell
ΔE to the lowest computed polymorph = 372.3 meV/atom


(6)
This record from Alexandria describes a relaxed KRb2HgPt crystal. The functional is PBE.

Lattice parameters (Å, degrees): 6.567 6.567 5.365 90.00 90.00 90.00
Atoms (fractional coordinates):
Rb 0.000 0.500 0.000
Rb 0.500 0.000 0.000
Hg 0.000 0.000 0.500
K 0.500 0.500 0.500
Pt 0.000 0.000 0.000

Properties
D(E_F) = 2.732 states/eV per cell
ΔE to the lowest computed polymorph = 0.0 meV/atom